DFT (PBE) results for crystalline FeCoAsH2 at its relaxed geometry.

a b c (Å): 3.2881 3.2881 4.8820
angles (deg): 90.00 90.00 90.00
With the nearest neighbours (Å) after each atom.
Fractional coordinates of all 5 atoms:
Fe: 0.0000 0.0000 0.0000  4 H 1.64
Co: 0.0000 0.0000 0.5000  4 As 2.33, 2 Fe 2.44
As: 0.5000 0.5000 0.5000  4 Co 2.33
H: 0.0000 0.5000 0.0000  2 Fe 1.64
H: 0.5000 0.0000 0.0000  2 Fe 1.64

Calculated values
**Final energy**: -4.94 eV/atom
**DOS at the Fermi energy**: 3.56 states/eV/f.u.
**Spin magnetization**: 2.5 μB/cell